[1]
Compound: SbPRh
Source: the Alexandria database
Functional: PBE
Structure: relaxed

a = 3.9856 Å, b = 8.4292 Å, c = 6.7703 Å
α = 90.00°, β = 90.00°, γ = 90.00°
Closest atoms and distances in Å follow each position.
Fractional positions:
Sb 0.2500 0.9003 0.3731  3 Rh 2.63-2.70
Sb 0.7500 0.5997 0.8731  3 Rh 2.63-2.70
Sb 0.7500 0.0997 0.6269  3 Rh 2.63-2.70
Sb 0.2500 0.4003 0.1269  3 Rh 2.63-2.70
Rh 0.2500 0.1544 0.8873  4 P 2.45-2.61, 3 Sb 2.63-2.70
Rh 0.7500 0.3456 0.3873  4 P 2.45-2.61, 3 Sb 2.63-2.70
Rh 0.7500 0.8456 0.1127  4 P 2.45-2.61, 3 Sb 2.63-2.70
Rh 0.2500 0.6544 0.6127  4 P 2.45-2.61, 3 Sb 2.63-2.70
P 0.2500 0.3590 0.5979  4 Rh 2.45-2.61
P 0.7500 0.1410 0.0979  4 Rh 2.45-2.61
P 0.7500 0.6410 0.4021  4 Rh 2.45-2.61
P 0.2500 0.8590 0.9021  4 Rh 2.45-2.61

Crystal system: orthorhombic
Calculated density: 7.5 g/cm3
Uncorrected energy: -70.45 eV/cell
Formation energy from raw total energies: -0.24 eV/atom
Symmetry: No. 62


[2]
Compound: SbPRh
Source: the Alexandria database
Functional: PBE
Structure: relaxed

a = 6.3794 Å, b = 6.3794 Å, c = 6.3794 Å
α = 152.30°, β = 152.30°, γ = 39.57°
Closest atoms and distances in Å follow each position.
Fractional positions:
Sb 0.3163 0.3163 0.0000  4 Rh 3.03, 4 Sb 3.05, 1 P 3.27
P 0.0441 0.0441 0.0000  4 Rh 2.44
Rh 0.6396 0.6396 0.0000  4 P 2.44

Crystal system: tetragonal
Calculated density: 7.6 g/cm3
Uncorrected energy: -17.32 eV/cell
Formation energy from raw total energies: -0.15 eV/atom
Symmetry: No. 107